An optimized crystal structure of Li4Dy3BiSe8. Source: Alexandria via LeMat-Bulk, functional PBE.

Unit cell a=8.189 b=8.057 c=8.187 alpha=120.57 beta=120.01 gamma=90.00
Positions (direct):
Li1 0.500 0.000 0.000
Li2 0.500 0.000 0.500
Li3 0.000 0.000 0.000
Li4 0.000 0.000 0.500
Dy1 0.500 0.500 0.000
Dy2 0.500 0.500 0.500
Dy3 0.000 0.500 0.500
Bi1 0.000 0.500 0.000
Se1 0.255 0.757 0.002
Se2 0.255 0.757 0.510
Se3 0.250 0.249 0.499
Se4 0.747 0.757 0.002
Se5 0.253 0.243 0.998
Se6 0.750 0.751 0.501
Se7 0.745 0.243 0.490
Se8 0.745 0.243 0.998

The calculation puts the energy relative to the elements, uncorrected at -1.45 eV per atom.


An optimized crystal structure of SrTm4Bi5. Source: Alexandria via LeMat-Bulk, functional PBE.

Unit cell a=4.472 b=6.386 c=12.003 alpha=105.43 beta=100.74 gamma=90.00
Positions (direct):
Sr1 0.000 0.000 0.000
Tm1 0.401 0.401 0.803
Tm2 0.796 0.796 0.592
Tm3 0.204 0.204 0.408
Tm4 0.599 0.599 0.197
Bi1 0.610 0.110 0.220
Bi2 0.802 0.302 0.604
Bi3 0.198 0.698 0.396
Bi4 0.000 0.500 0.000
Bi5 0.390 0.890 0.780

The energy of formation is -0.754 eV/atom.


An optimized crystal structure of Li4HoZn. Source: Alexandria via LeMat-Bulk, functional PBE.

Unit cell a=5.383 b=5.383 c=5.383 alpha=60.00 beta=60.00 gamma=60.00
Positions (direct):
Zn1 0.000 0.000 0.000
Ho1 0.250 0.250 0.250
Li1 0.627 0.627 0.118
Li2 0.627 0.118 0.627
Li3 0.627 0.627 0.627
Li4 0.118 0.627 0.627

The energy of formation is 0.024 eV/atom.


An optimized crystal structure of TiReSiNi2. Source: Alexandria via LeMat-Bulk, functional PBE.

Unit cell a=4.174 b=4.507 c=4.174 alpha=90.00 beta=90.00 gamma=90.00
Site moments in Bohr magnetons follow the coordinates.
Positions (direct):
Re1 0.500 0.500 0.500  1.32
Si1 0.000 0.500 0.000  -0.03
Ti1 0.000 0.000 0.000  -0.02
Ni1 0.000 0.000 0.500  -0.07
Ni2 0.500 0.000 0.000  -0.01

The calculation puts the energy relative to the elements, uncorrected at 1.29 eV per atom.


An optimized crystal structure of RbBi2Pd. Source: Alexandria via LeMat-Bulk, functional PBE.

Unit cell a=4.463 b=4.463 c=8.389 alpha=74.58 beta=74.58 gamma=60.00
Positions (direct):
Rb1 0.497 0.497 0.508
Bi1 0.049 0.049 0.853
Bi2 0.285 0.285 0.144
Pd1 0.668 0.668 0.996

The energy of formation is -0.294 eV/atom. Its polymorph energy (0 for the lowest one) is 0.5 kJ/mol of formula units.


An optimized crystal structure of CePrYTh. Source: Alexandria via LeMat-Bulk, functional PBE.

Unit cell a=3.578 b=3.579 c=11.809 alpha=90.00 beta=98.72 gamma=120.00
Positions (direct):
Ce1 0.305 0.551 0.871
Pr1 0.966 0.381 0.363
Y1 0.476 0.136 0.627
Th1 0.131 0.963 0.109

The energy of formation is 0.047 eV/atom. Its polymorph energy (0 for the lowest one) is 0.0 kJ/mol of formula units.